Material: ZnCS2Cl
Method: DFT, GGA-PBE
State: optimized geometry

Lattice parameters (Å, degrees): 4.679 4.679 4.670 90.00 90.00 90.00
Space group P4/mmm (No. 123)
Unique sites:
1 Zn 0.000 0.000 0.000 x1
2 C 0.500 0.500 0.500 x1
3 S 0.000 0.500 0.000 x2
4 Cl 0.000 0.000 0.500 x1

Computed properties:
Calculated total energy: -0.1775 Ry/atom
M_tot: 0.0 μB/cell
DOS at the Fermi energy: 1.0050 states/eV/atom
Formation energy from raw total energies: 8.5 eV/f.u.
Energy relative to the lowest polymorph listed for this composition: 774.2 meV per atom
Crystal system: tetragonal



Material: ZnCSCl2
Method: DFT, GGA-PBE
State: optimized geometry

Lattice parameters (Å, degrees): 4.660 4.660 4.934 90.00 90.00 90.00
Space group P4/mmm (No. 123)
Unique sites:
1 Zn 0.000 0.000 0.000 x1
2 C 0.500 0.500 0.500 x1
3 S 0.000 0.000 0.500 x1
4 Cl 0.000 0.500 0.000 x2

Computed properties:
Calculated total energy: -0.1665 Ry/atom
M_tot: 0.0 μB/cell
DOS at the Fermi energy: 1.0285 states/eV/atom
Formation energy from raw total energies: 7.0 eV/f.u.
Energy relative to the lowest polymorph listed for this composition: 438.5 meV per atom
Crystal system: tetragonal



Material: ZnCSCl2
Method: DFT, GGA-PBE
State: optimized geometry

Lattice parameters (Å, degrees): 4.458 4.458 4.170 90.00 90.00 90.00
Space group P4/mmm (No. 123)
Unique sites:
1 Zn 0.000 0.000 0.000 x1
2 C 0.500 0.500 0.500 x1
3 S 0.500 0.500 0.000 x1
4 Cl 0.000 0.500 0.500 x2

Computed properties:
Calculated total energy: -0.1987 Ry/atom
M_tot: 0.0 μB/cell
DOS at the Fermi energy: 0.4419 states/eV/atom
Formation energy from raw total energies: 4.8 eV/f.u.
Energy relative to the lowest polymorph listed for this composition: 0.0 meV per atom
Crystal system: tetragonal



Material: ZnCS2Cl
Method: DFT, GGA-PBE
State: optimized geometry

Lattice parameters (Å, degrees): 3.845 3.845 7.183 90.00 90.00 90.00
Space group P4/mmm (No. 123)
Unique sites:
1 Zn 0.000 0.000 0.000 x1
2 C 0.500 0.500 0.500 x1
3 S 0.000 0.500 0.500 x2
4 Cl 0.500 0.500 0.000 x1

Computed properties:
Calculated total energy: -0.2344 Ry/atom
M_tot: 0.0 μB/cell
DOS at the Fermi energy: 0.5176 states/eV/atom
Formation energy from raw total energies: 4.7 eV/f.u.
Energy relative to the lowest polymorph listed for this composition: 0.0 meV per atom
Crystal system: tetragonal



Material: ZrCSCl2
Method: DFT, GGA-PBE
State: optimized geometry

Lattice parameters (Å, degrees): 4.224 4.224 4.426 90.00 90.00 90.00
Space group P4/mmm (No. 123)
Unique sites:
1 Zr 0.000 0.000 0.000 x1
2 C 0.500 0.500 0.500 x1
3 S 0.500 0.500 0.000 x1
4 Cl 0.000 0.500 0.500 x2

Computed properties:
Calculated total energy: -0.3276 Ry/atom
M_tot: 0.8 μB/cell
DOS at the Fermi energy: 0.7264 states/eV/atom
Formation energy from raw total energies: 3.3 eV/f.u.
Energy relative to the lowest polymorph listed for this composition: 266.8 meV per atom
Crystal system: tetragonal



Material: ZrCSCl2
Method: DFT, GGA-PBE
State: optimized geometry

Lattice parameters (Å, degrees): 5.060 5.060 4.953 90.00 90.00 90.00
Space group P4/mmm (No. 123)
Unique sites:
1 Zr 0.000 0.000 0.000 x1
2 C 0.500 0.500 0.500 x1
3 S 0.000 0.000 0.500 x1
4 Cl 0.000 0.500 0.000 x2

Computed properties:
Calculated total energy: -0.3472 Ry/atom
M_tot: 1.9 μB/cell
DOS at the Fermi energy: 1.2129 states/eV/atom
Formation energy from raw total energies: 2.0 eV/f.u.
Energy relative to the lowest polymorph listed for this composition: 0.0 meV per atom
Crystal system: tetragonal



Material: Sb2CCl
Method: DFT, GGA-PBE
State: optimized geometry

Lattice parameters (Å, degrees): 6.761 6.761 6.761 90.00 90.00 90.00
Space group Fm-3m (No. 225)
Unique sites:
1 Sb 0.250 0.250 0.250 x8
2 C 0.000 0.000 0.000 x4
3 Cl 0.000 0.000 0.500 x4

Computed properties:
Calculated total energy: -0.2614 Ry/atom
M_tot: 0.0 μB/cell
DOS at the Fermi energy: 0.3400 states/eV/atom
Formation energy from raw total energies: 5.1 eV/f.u.
Energy relative to the lowest polymorph listed for this composition: 583.2 meV per atom
Crystal system: cubic



Material: SbC2Cl
Method: DFT, GGA-PBE
State: optimized geometry

Lattice parameters (Å, degrees): 6.087 6.087 6.087 90.00 90.00 90.00
Space group Fm-3m (No. 225)
Unique sites:
1 Sb 0.000 0.000 0.000 x4
2 C 0.250 0.250 0.250 x8
3 Cl 0.000 0.000 0.500 x4

Computed properties:
Calculated total energy: -0.2622 Ry/atom
M_tot: 0.0 μB/cell
DOS at the Fermi energy: 0.5405 states/eV/atom
Formation energy from raw total energies: 10.1 eV/f.u.
Energy relative to the lowest polymorph listed for this composition: 415.3 meV per atom
Crystal system: cubic